Material: Nd3InPd8
Method: DFT, PBE-GGA
State: optimized geometry

E_tot in eV per atom: -5.596
Symmetry: R3m

Lattice parameters (Å, degrees): 5.4940 5.4940 9.5183 73.23 73.23 60.00
With the nearest neighbours (Å) after each atom.
Fractional coordinates of all 12 atoms:
Pd: 0.1885 0.1885 0.4344  6 Pd 2.74-2.76
Pd: 0.4375 0.9405 0.1844  6 Pd 2.73-2.76
Pd: 0.4373 0.9385 0.6858  6 Pd 2.74-2.76, 1 In 3.05
Pd: 0.9385 0.4373 0.6858  6 Pd 2.74-2.76, 1 In 3.05
Pd: 0.9385 0.9385 0.6858  6 Pd 2.74-2.76, 1 In 3.05
Pd: 0.6886 0.6886 0.9343  6 Pd 2.74-2.75
Pd: 0.9405 0.4375 0.1844  6 Pd 2.73-2.76
Pd: 0.4375 0.4375 0.1844  6 Pd 2.73-2.76
Nd: 0.5064 0.5064 0.4809  12 Pd 3.10-3.31, 3 In 3.26, 1 Nd 3.47
Nd: 0.9914 0.9914 0.0257  12 Pd 3.09-3.44, 1 In 3.33
Nd: 0.3774 0.3774 0.8679  12 Pd 3.20-3.25, 4 Nd 3.47
In: 0.8679 0.8679 0.3963  12 Pd 3.05-3.34, 4 Nd 3.26-3.33



Material: Ce2PuMg
Method: DFT, PBE-GGA
State: optimized geometry

E_tot in eV per atom: -6.856
Symmetry: Fm-3m
Energy above the lowest structure with this stoichiometry in eV/atom: 0.020

Lattice parameters (Å, degrees): 5.3278 5.3278 5.3278 60.00 60.00 60.00
With the nearest neighbours (Å) after each atom.
Fractional coordinates of all 4 atoms:
Mg: 0.0000 0.0000 0.0000  8 Ce 3.26
Pu: 0.5000 0.5000 0.5000  8 Ce 3.26
Ce: 0.7500 0.7500 0.7500  4 Mg 3.26, 4 Pu 3.26
Ce: 0.2500 0.2500 0.2500  4 Mg 3.26, 4 Pu 3.26



Q: Which of these has the lowest E_tot?
A: Ce2PuMg